This record from Alexandria via LeMat-Bulk describes a relaxed structure of KHg4F12. The functional is GGA-PBE.

```
KHg4F12
1.0
-4.382 4.382 4.382
4.382 -4.382 4.382
4.382 4.382 -4.382
K Hg F
1 4 12
direct
0.000 0.000 0.000 K
0.000 0.000 0.500 Hg
0.000 0.500 0.000 Hg
0.500 0.000 0.000 Hg
0.500 0.500 0.500 Hg
0.028 0.776 0.252 F
0.224 0.252 0.476 F
0.224 0.748 0.972 F
0.252 0.028 0.776 F
0.252 0.476 0.224 F
0.476 0.224 0.252 F
0.524 0.776 0.748 F
0.748 0.524 0.776 F
0.748 0.972 0.224 F
0.776 0.252 0.028 F
0.776 0.748 0.524 F
0.972 0.224 0.748 F
```

Output
- energy relative to the elements, uncorrected (eV/atom) = -1.4024
- electronic total energy (eV per cell) = -48.6
- total magnetic moment (Bohr magnetons per cell) = 0.0
- symmetry = No. 204